The following is a DFT calculation (PBE-GGA) of a relaxed SrSmPdPb crystal.

Output
Volume   112.4 Å³ per cell
Formation energy   -0.51 eV per atom

Unit cell a=5.417 b=5.417 c=5.417 alpha=60.00 beta=60.00 gamma=60.00
Element x y z (fractional)
Sr: 0.250 0.250 0.250
Sm: 0.750 0.750 0.750
Pb: 0.500 0.500 0.500
Pd: 0.000 0.000 0.000